1.
First-principles (PBE) data for a relaxed LiTlHg2 crystal, as listed in Alexandria via LeMat-Bulk.

Values from the calculation:
Space-group type: No. 71
Offset from the most stable computed form in meV/atom: 40
Energy of formation from the pure elements in eV/atom: -0.140

POSCAR file:
```
LiTlHg2
1.0
5.9741 0.1578 0.1188
2.4301 5.4598 -0.1188
-3.6156 -3.6862 3.0113
Tl Hg Li
1 2 1
direct
0.2500 0.7500 0.5000
0.5349 0.5349 0.0000
0.9651 0.9651 0.0000
0.7500 0.2500 0.5000
```

***

2.
First-principles (PBE) data for a relaxed LiTl4Hg crystal, as listed in Alexandria via LeMat-Bulk.

Values from the calculation:
Space-group type: No. 140
Offset from the most stable computed form in meV/atom: 3
Energy of formation from the pure elements in eV/atom: -0.038

POSCAR file:
```
LiTl4Hg
1.0
6.6494 0.0000 -3.3919
-1.7302 6.4203 -3.3919
-0.0892 -0.1164 8.0387
Tl Hg Li
8 2 2
direct
0.0199 0.2148 0.7347
0.7852 0.2852 0.2653
0.2852 0.4801 0.2653
0.2148 0.7148 0.7347
0.7148 0.5199 0.7347
0.5199 0.0199 0.7347
0.4801 0.9801 0.2653
0.9801 0.7852 0.2653
0.7500 0.7500 0.5000
0.2500 0.2500 0.5000
0.0000 0.0000 0.0000
0.5000 0.5000 0.0000
```

***

3.
First-principles (PBE) data for a relaxed LiTl15Hg4 crystal, as listed in Alexandria via LeMat-Bulk.

Values from the calculation:
Space-group type: No. 123
Energy of formation from the pure elements in eV/atom: 0.002

POSCAR file:
```
LiTl15Hg4
1.0
-4.2425 -1.6419 -1.6146
2.2411 -3.7219 -2.1040
-2.7151 -13.3320 20.6918
Hg Tl Li
4 15 1
direct
0.0000 0.0000 0.8083
0.0000 0.0000 0.1917
0.0000 0.0000 0.6014
0.0000 0.0000 0.3986
0.5000 0.0000 0.0923
0.5000 0.0000 0.9077
0.5000 0.5000 0.1942
0.0000 0.5000 0.2969
0.0000 0.5000 0.7031
0.5000 0.0000 0.5000
0.0000 0.5000 0.9077
0.5000 0.0000 0.7031
0.5000 0.5000 0.8058
0.0000 0.5000 0.0923
0.5000 0.5000 0.0000
0.5000 0.5000 0.3991
0.5000 0.5000 0.6009
0.5000 0.0000 0.2969
0.0000 0.5000 0.5000
0.0000 0.0000 0.0000
```